(A)
! GGA-PBEsol Li2CuIr, relaxed; values from VASP
! Space-group type: Pmmm
! Crystal system: orthorhombic
! Total magnetization (Bohr magnetons per cell): 0.002
&SYSTEM
  ibrav = 0, nat = 4, ntyp = 3
/
ATOMIC_SPECIES
Li 6.94 Li.upf
Cu 63.55 Cu.upf
Ir 192.22 Ir.upf
CELL_PARAMETERS angstrom
2.711 0.000 0.000
0.000 4.272 0.000
0.000 0.000 4.296
ATOMIC_POSITIONS angstrom
Li 0.000 0.000 0.000
Li 1.356 0.000 2.148
Cu 0.000 2.136 2.148
Ir 1.356 2.136 0.000

(B)
! GGA-PBEsol Li2CuIr, relaxed; values from VASP
! Space-group type: P2/m
! Crystal system: monoclinic
! Total magnetization (Bohr magnetons per cell): 0.000
&SYSTEM
  ibrav = 0, nat = 4, ntyp = 3
/
ATOMIC_SPECIES
Li 6.94 Li.upf
Cu 63.55 Cu.upf
Ir 192.22 Ir.upf
CELL_PARAMETERS angstrom
2.515 0.000 0.000
0.000 4.332 0.000
-0.263 0.000 4.622
ATOMIC_POSITIONS angstrom
Li 0.451 0.000 1.107
Li 1.800 0.000 3.515
Cu -0.132 2.166 2.311
Ir 1.257 2.166 0.000

(C)
! GGA-PBEsol Li2CuIr, relaxed; values from VASP
! Space-group type: R-3m
! Crystal system: trigonal
! Total magnetization (Bohr magnetons per cell): 0.002
&SYSTEM
  ibrav = 0, nat = 4, ntyp = 3
/
ATOMIC_SPECIES
Li 6.94 Li.upf
Cu 63.55 Cu.upf
Ir 192.22 Ir.upf
CELL_PARAMETERS angstrom
1.312 0.758 8.641
-1.312 0.758 8.641
0.000 -1.515 8.641
ATOMIC_POSITIONS angstrom
Li 0.000 0.000 6.454
Li 0.000 0.000 19.468
Cu 0.000 0.000 0.000
Ir 0.000 0.000 12.961

(D)
! GGA-PBEsol Li2CuIr, relaxed; values from VASP
! Space-group type: I-42d
! Crystal system: tetragonal
! Total magnetization (Bohr magnetons per cell): 0.000
&SYSTEM
  ibrav = 0, nat = 8, ntyp = 3
/
ATOMIC_SPECIES
Li 6.94 Li.upf
Cu 63.55 Cu.upf
Ir 192.22 Ir.upf
CELL_PARAMETERS angstrom
-3.224 3.224 2.449
3.224 -3.224 2.449
3.224 3.224 -2.449
ATOMIC_POSITIONS angstrom
Li 1.612 1.517 -0.612
Li 1.707 -1.612 3.061
Li 1.612 1.707 1.837
Li 1.517 4.837 0.612
Cu 0.000 0.000 0.000
Cu 0.000 3.224 1.224
Ir 3.224 0.000 1.224
Ir 0.000 0.000 2.449

Relative to the most stable structure, the computed energies are (A) 2.4; (B) 1.8; (C) 0.0; (D) 46.1, all in kJ/mol of atoms.

(A)
! GGA-PBEsol LiCuIr, relaxed; values from VASP
! Space-group type: F-43m
! Crystal system: cubic
! Total magnetization (Bohr magnetons per cell): 0.806
&SYSTEM
  ibrav = 0, nat = 3, ntyp = 3
/
ATOMIC_SPECIES
Li 6.94 Li.upf
Cu 63.55 Cu.upf
Ir 192.22 Ir.upf
CELL_PARAMETERS angstrom
0.000 2.837 2.837
2.837 0.000 2.837
2.837 2.837 0.000
ATOMIC_POSITIONS angstrom
Li 0.000 0.000 0.000
Cu 2.837 2.837 2.837
Ir 4.256 4.256 4.256

(B)
! GGA-PBEsol LiCuIr, relaxed; values from VASP
! Space-group type: I4mm
! Crystal system: tetragonal
! Total magnetization (Bohr magnetons per cell): 0.000
&SYSTEM
  ibrav = 0, nat = 3, ntyp = 3
/
ATOMIC_SPECIES
Li 6.94 Li.upf
Cu 63.55 Cu.upf
Ir 192.22 Ir.upf
CELL_PARAMETERS angstrom
-1.290 1.290 5.849
1.290 -1.290 5.849
1.290 1.290 -5.849
ATOMIC_POSITIONS angstrom
Li 0.000 0.000 0.000
Cu 0.000 0.000 7.856
Ir 0.000 0.000 3.887

Relative to the most stable structure, the computed energies are (A) 67.3; (B) 0.0, all in kJ/mol of atoms.

(A)
! GGA-PBEsol MgCuIr, relaxed; values from VASP
! Space-group type: Imm2
! Crystal system: orthorhombic
! Total magnetization (Bohr magnetons per cell): 0.002
&SYSTEM
  ibrav = 0, nat = 3, ntyp = 3
/
ATOMIC_SPECIES
Mg 24.30 Mg.upf
Cu 63.55 Cu.upf
Ir 192.22 Ir.upf
CELL_PARAMETERS angstrom
-1.367 1.909 4.023
1.367 -1.909 4.023
1.367 1.909 -4.023
ATOMIC_POSITIONS angstrom
Mg 0.000 0.000 0.000
Cu 0.000 0.000 5.426
Ir 0.000 0.000 2.655

(B)
! GGA-PBEsol MgCuIr, relaxed; values from VASP
! Space-group type: P3m1
! Crystal system: trigonal
! Total magnetization (Bohr magnetons per cell): 0.000
&SYSTEM
  ibrav = 0, nat = 3, ntyp = 3
/
ATOMIC_SPECIES
Mg 24.30 Mg.upf
Cu 63.55 Cu.upf
Ir 192.22 Ir.upf
CELL_PARAMETERS angstrom
2.755 0.000 0.000
-1.378 2.386 0.000
0.000 0.000 6.438
ATOMIC_POSITIONS angstrom
Mg 0.000 0.000 0.000
Cu 0.000 1.591 4.273
Ir 1.378 0.795 2.164

Relative to the most stable structure, the computed energies are (A) 0.0; (B) 5.7, all in kJ/mol of atoms.

(A)
! GGA-PBEsol CuMoIr2, relaxed; values from VASP
! Space-group type: C2/m
! Crystal system: monoclinic
! Total magnetization (Bohr magnetons per cell): 0.000
&SYSTEM
  ibrav = 0, nat = 4, ntyp = 3
/
ATOMIC_SPECIES
Cu 63.55 Cu.upf
Mo 95.94 Mo.upf
Ir 192.22 Ir.upf
CELL_PARAMETERS angstrom
2.694 -4.395 0.000
2.694 4.395 0.000
-1.264 0.000 2.363
ATOMIC_POSITIONS angstrom
Cu 0.000 0.000 0.000
Mo 2.694 0.000 0.000
Ir 0.715 2.197 1.181
Ir 0.715 -2.197 1.181

(B)
! GGA-PBEsol CuMoIr2, relaxed; values from VASP
! Space-group type: F-43m
! Crystal system: cubic
! Total magnetization (Bohr magnetons per cell): 0.001
&SYSTEM
  ibrav = 0, nat = 4, ntyp = 3
/
ATOMIC_SPECIES
Cu 63.55 Cu.upf
Mo 95.94 Mo.upf
Ir 192.22 Ir.upf
CELL_PARAMETERS angstrom
0.000 3.036 3.036
3.036 0.000 3.036
3.036 3.036 0.000
ATOMIC_POSITIONS angstrom
Cu 0.000 0.000 0.000
Mo 1.518 1.518 1.518
Ir 3.036 3.036 3.036
Ir 4.553 4.553 4.553

(C)
! GGA-PBEsol CuMoIr2, relaxed; values from VASP
! Space-group type: R-3m
! Crystal system: trigonal
! Total magnetization (Bohr magnetons per cell): 0.000
&SYSTEM
  ibrav = 0, nat = 4, ntyp = 3
/
ATOMIC_SPECIES
Cu 63.55 Cu.upf
Mo 95.94 Mo.upf
Ir 192.22 Ir.upf
CELL_PARAMETERS angstrom
1.360 0.785 8.645
-1.360 0.785 8.645
0.000 -1.570 8.645
ATOMIC_POSITIONS angstrom
Cu 0.000 0.000 0.000
Mo 0.000 0.000 12.968
Ir 0.000 0.000 6.502
Ir 0.000 0.000 19.434

Relative to the most stable structure, the computed energies are (A) 26.3; (B) 35.9; (C) 0.0, all in kJ/mol of atoms.